(1)
! ReAuSe2, optimized geometry, DFT GGA-PBE; values from VASP
! * energy relative to the elements, uncorrected: 694 meV per atom
! * energy above the lowest structure with this stoichiometry: 0.581 eV/atom
! * magnetization: 0.000 Bohr magnetons per cell
&SYSTEM
  ibrav = 0, nat = 4, ntyp = 3
/
ATOMIC_SPECIES
Re 186.21 Re.upf
Au 196.97 Au.upf
Se 78.96 Se.upf
CELL_PARAMETERS angstrom
0.000 3.254 3.254
3.254 0.000 3.254
3.254 3.254 0.000
ATOMIC_POSITIONS crystal
Re 0.000 0.000 0.000
Au 0.500 0.500 0.500
Se 0.250 0.250 0.250
Se 0.750 0.750 0.750

=====

(2)
! La2CdCoHg, optimized geometry, DFT GGA-PBE; values from VASP
! * energy above the lowest structure with this stoichiometry: 0.029 eV/atom
! * magnetization: 0.000 Bohr magnetons per cell
! * formation energy from the elements: -5.89 kcal/mol of atoms
&SYSTEM
  ibrav = 0, nat = 5, ntyp = 4
/
ATOMIC_SPECIES
La 138.91 La.upf
Cd 112.41 Cd.upf
Co 58.93 Co.upf
Hg 200.59 Hg.upf
CELL_PARAMETERS angstrom
5.213 0.000 0.000
0.000 5.213 0.000
0.000 0.000 5.098
ATOMIC_POSITIONS crystal
La 0.000 0.500 0.000
La 0.500 0.000 0.000
Cd 0.000 0.000 0.500
Co 0.500 0.500 0.000
Hg 0.500 0.500 0.500

=====

(3)
! AcPr3Sb2, optimized geometry, DFT GGA-PBE; values from VASP
! * energy relative to the elements, uncorrected: -733 meV per atom
! * magnetization: 0.000 Bohr magnetons per cell
&SYSTEM
  ibrav = 0, nat = 12, ntyp = 3
/
ATOMIC_SPECIES
Ac 227.00 Ac.upf
Pr 140.91 Pr.upf
Sb 121.76 Sb.upf
CELL_PARAMETERS angstrom
9.628 -2.304 0.000
9.628 2.304 0.000
-4.403 0.000 9.207
ATOMIC_POSITIONS crystal
Ac 0.113 0.113 0.126
Ac 0.887 0.887 0.874
Pr 0.056 0.056 0.674
Pr 0.312 0.312 0.113
Pr 0.352 0.352 0.528
Pr 0.648 0.648 0.472
Pr 0.688 0.688 0.887
Pr 0.944 0.944 0.326
Sb 0.242 0.242 0.713
Sb 0.489 0.489 0.159
Sb 0.511 0.511 0.841
Sb 0.758 0.758 0.287

=====

(4)
! KIn2Bi2, optimized geometry, DFT GGA-PBE; values from VASP
! * energy above the lowest structure with this stoichiometry: 0.105 eV/atom
! * magnetization: 0.000 Bohr magnetons per cell
! * formation energy from the elements: -2.08 kcal/mol of atoms
&SYSTEM
  ibrav = 0, nat = 5, ntyp = 3
/
ATOMIC_SPECIES
K 39.10 K.upf
In 114.82 In.upf
Bi 208.98 Bi.upf
CELL_PARAMETERS angstrom
5.153 0.000 0.000
0.000 5.153 0.000
0.000 0.000 6.975
ATOMIC_POSITIONS crystal
K 0.000 0.000 0.000
In 0.000 0.500 0.500
In 0.500 0.000 0.500
Bi 0.500 0.500 0.222
Bi 0.500 0.500 0.778

=====

Copy entry 3 word for word.
! AcPr3Sb2, optimized geometry, DFT GGA-PBE; values from VASP
! * energy relative to the elements, uncorrected: -733 meV per atom
! * magnetization: 0.000 Bohr magnetons per cell
&SYSTEM
  ibrav = 0, nat = 12, ntyp = 3
/
ATOMIC_SPECIES
Ac 227.00 Ac.upf
Pr 140.91 Pr.upf
Sb 121.76 Sb.upf
CELL_PARAMETERS angstrom
9.628 -2.304 0.000
9.628 2.304 0.000
-4.403 0.000 9.207
ATOMIC_POSITIONS crystal
Ac 0.113 0.113 0.126
Ac 0.887 0.887 0.874
Pr 0.056 0.056 0.674
Pr 0.312 0.312 0.113
Pr 0.352 0.352 0.528
Pr 0.648 0.648 0.472
Pr 0.688 0.688 0.887
Pr 0.944 0.944 0.326
Sb 0.242 0.242 0.713
Sb 0.489 0.489 0.159
Sb 0.511 0.511 0.841
Sb 0.758 0.758 0.287

=====

Please write out number 4 again, unchanged.
! KIn2Bi2, optimized geometry, DFT GGA-PBE; values from VASP
! * energy above the lowest structure with this stoichiometry: 0.105 eV/atom
! * magnetization: 0.000 Bohr magnetons per cell
! * formation energy from the elements: -2.08 kcal/mol of atoms
&SYSTEM
  ibrav = 0, nat = 5, ntyp = 3
/
ATOMIC_SPECIES
K 39.10 K.upf
In 114.82 In.upf
Bi 208.98 Bi.upf
CELL_PARAMETERS angstrom
5.153 0.000 0.000
0.000 5.153 0.000
0.000 0.000 6.975
ATOMIC_POSITIONS crystal
K 0.000 0.000 0.000
In 0.000 0.500 0.500
In 0.500 0.000 0.500
Bi 0.500 0.500 0.222
Bi 0.500 0.500 0.778